## w
{
  "formula": "AgOs2",
  "functional": "PBE",
  "state": "relaxed",
  "n_ef_per_ev_atom": 1.070,
  "vol_a3_per_atom": 16.2,
  "cell": [[-3.4922, 0.3797, -5.4044], [2.2473, -5.7037, 1.9909], [-3.3877, -0.5850, 2.1479]],
  "species": ["Ag", "Ag", "Ag", "Os", "Os", "Os", "Os", "Os", "Os"],
  "frac_coords": [[0.0000, 0.0000, 0.5000], [0.3333, 0.6667, 0.0000], [0.6667, 0.3333, 0.0000], [0.0000, 0.2355, 0.0000], [0.0000, 0.5650, 0.5000], [0.2355, 0.0000, 0.0000], [0.7645, 0.7645, 0.0000], [0.5650, 0.0000, 0.5000], [0.4350, 0.4350, 0.5000]]
}

***

## x
{
  "formula": "AgOs2",
  "functional": "PBE",
  "state": "relaxed",
  "n_ef_per_ev_atom": 0.964,
  "vol_a3_per_atom": 16.3,
  "cell": [[4.1269, -0.5698, 2.9381], [-3.2203, 3.9146, 0.5419], [-2.8580, -4.0543, 1.1758]],
  "species": ["Ag", "Ag", "Os", "Os", "Os", "Os"],
  "frac_coords": [[0.7500, 0.7500, 0.0000], [0.2500, 0.2500, 0.0000], [0.8699, 0.6301, 0.5000], [0.6301, 0.1301, 0.7602], [0.3699, 0.8699, 0.2398], [0.1301, 0.3699, 0.5000]]
}

***

## y
{
  "formula": "AgOs2",
  "functional": "PBE",
  "state": "relaxed",
  "n_ef_per_ev_atom": 1.079,
  "vol_a3_per_atom": 15.5,
  "cell": [[5.5362, 0.0000, 0.0000], [0.0000, 3.9668, 0.0000], [0.0000, 0.0000, 8.4796]],
  "species": ["Os", "Os", "Os", "Os", "Os", "Os", "Os", "Os", "Ag", "Ag", "Ag", "Ag"],
  "frac_coords": [[0.1155, 0.2500, 0.2780], [0.1006, 0.2500, 0.5879], [0.3994, 0.7500, 0.0879], [0.3845, 0.7500, 0.7780], [0.6155, 0.2500, 0.2220], [0.6006, 0.2500, 0.9121], [0.8994, 0.7500, 0.4121], [0.8845, 0.7500, 0.7220], [0.1078, 0.2500, 0.9168], [0.3922, 0.7500, 0.4168], [0.6078, 0.2500, 0.5832], [0.8922, 0.7500, 0.0832]]
}

***

y takes first place; second place is 51.0 kJ/mol of atoms up.

***

## w
{
  "formula": "AgOs2",
  "functional": "PBE",
  "state": "relaxed",
  "n_ef_per_ev_atom": 1.565,
  "vol_a3_per_atom": 19.3,
  "cell": [[-1.4242, -2.4560, -5.4473], [-4.1409, -3.6315, 2.7200], [-4.3079, 4.3028, -0.8136]],
  "species": ["Os", "Os", "Os", "Os", "Os", "Os", "Os", "Os", "Ag", "Ag", "Ag", "Ag"],
  "frac_coords": [[0.1056, 0.6056, 0.8944], [0.1056, 0.8944, 0.3944], [0.3944, 0.1056, 0.8944], [0.3944, 0.3944, 0.3944], [0.6056, 0.6056, 0.6056], [0.6056, 0.8944, 0.1056], [0.8944, 0.1056, 0.6056], [0.8944, 0.3944, 0.1056], [0.0000, 0.0000, 0.0000], [0.0000, 0.5000, 0.5000], [0.5000, 0.0000, 0.5000], [0.5000, 0.5000, 0.0000]]
}

***

## x
{
  "formula": "AgOs2",
  "functional": "PBE",
  "state": "relaxed",
  "n_ef_per_ev_atom": 0.979,
  "vol_a3_per_atom": 17.9,
  "cell": [[-1.8231, 1.8231, 8.0913], [1.8231, -1.8231, 8.0913], [1.8231, 1.8231, -8.0913]],
  "species": ["Ag", "Ag", "Os", "Os", "Os", "Os"],
  "frac_coords": [[0.7500, 0.2500, 0.5000], [0.0000, 0.0000, 0.0000], [0.4227, 0.4227, 0.0000], [0.5773, 0.5773, 0.0000], [0.1727, 0.6727, 0.5000], [0.3273, 0.8273, 0.5000]]
}

***

x takes first place; second place is 82.3 kJ/mol of atoms up.

***

## w
{
  "formula": "AgOs2",
  "functional": "PBE",
  "state": "relaxed",
  "n_ef_per_ev_atom": 0.470,
  "vol_a3_per_atom": 15.5,
  "cell": [[-1.3945, 1.8923, 4.4076], [1.3945, -1.8923, 4.4076], [1.3945, 1.8923, -4.4076]],
  "species": ["Ag", "Os", "Os"],
  "frac_coords": [[0.0000, 0.0000, 0.0000], [0.6855, 0.6855, 0.0000], [0.3145, 0.3145, 0.0000]]
}

***

## x
{
  "formula": "AgOs2",
  "functional": "PBE",
  "state": "relaxed",
  "n_ef_per_ev_atom": 1.101,
  "vol_a3_per_atom": 16.9,
  "cell": [[2.7189, 0.0000, 0.0000], [0.0000, 4.4919, 0.0000], [0.0000, 0.0000, 16.6388]],
  "species": ["Os", "Os", "Os", "Os", "Os", "Os", "Os", "Os", "Ag", "Ag", "Ag", "Ag"],
  "frac_coords": [[0.0000, 0.2500, 0.0345], [0.0000, 0.2500, 0.1867], [0.0000, 0.7500, 0.8133], [0.0000, 0.7500, 0.9655], [0.5000, 0.2500, 0.3133], [0.5000, 0.2500, 0.4655], [0.5000, 0.7500, 0.5345], [0.5000, 0.7500, 0.6867], [0.0000, 0.2500, 0.6297], [0.0000, 0.7500, 0.3703], [0.5000, 0.2500, 0.8703], [0.5000, 0.7500, 0.1297]]
}

***

w takes first place; second place is 34.7 kJ/mol of atoms up.